Density functional theory data (GGA-PBE) for a geometry-optimized BaIn8Ag2 structure.

Its space-group type is No. 123. Its formation energy is 56 meV per atom. As for the density of states at the Fermi level: 0.543 states/eV/atom.

Lattice parameters (Å, degrees): 6.3387 6.3387 9.4890 90.00 90.00 90.00
Closest atoms and distances in Å follow each position.
Atoms (fractional coordinates):
Ba  0.0000  0.0000  0.0000  8 In 3.66
In  0.2519  0.2519  0.3038  2 Ag 2.91, 4 In 3.15-3.19
In  0.2519  0.2519  0.6962  2 Ag 2.91, 4 In 3.15-3.19
In  0.2519  0.7481  0.3038  2 Ag 2.91, 4 In 3.15-3.19
In  0.2519  0.7481  0.6962  2 Ag 2.91, 4 In 3.15-3.19
In  0.7481  0.2519  0.3038  2 Ag 2.91, 4 In 3.15-3.19
In  0.7481  0.2519  0.6962  2 Ag 2.91, 4 In 3.15-3.19
In  0.7481  0.7481  0.3038  2 Ag 2.91, 4 In 3.15-3.19
In  0.7481  0.7481  0.6962  2 Ag 2.91, 4 In 3.15-3.19
Ag  0.0000  0.5000  0.5000  8 In 2.91
Ag  0.5000  0.0000  0.5000  8 In 2.91